Below is an optimized crystal structure of Li2AlTe, with properties calculated at the GGA-PBE level.

abc: 4.4289 4.4289 4.1121
angles: 90.00 90.00 90.00
Closest atoms and distances in Å follow each position.
Space group P4/mmm (No. 123)
Unique sites:
Li 0.0000 0.5000 0.0000 [2 per cell]  4 Te 3.02, 4 Al 3.02, 4 Li 3.13
Al 0.0000 0.0000 0.5000 [1 per cell]  8 Li 3.02, 4 Te 3.13
Te 0.5000 0.5000 0.5000 [1 per cell]  8 Li 3.02, 4 Al 3.13

Properties
- Relative energy among the computed polymorphs: 0 kJ/mol of formula units
- Raw formation energy: -1.61 eV/f.u.
- Magnetization: 0.00 μB/f.u.

Below is an optimized crystal structure of LiAlTe2, with properties calculated at the GGA-PBE level.

abc: 4.1268 4.1268 24.8252
angles: 90.00 90.00 120.00
Closest atoms and distances in Å follow each position.
Space group R-3m (No. 166, hexagonal axes)
Unique sites:
Li 0.0000 0.0000 0.0000 [3 per cell]  2 Te 2.62
Al 0.0000 0.0000 0.5000 [3 per cell]  6 Te 2.83
Te 0.0000 0.0000 0.1055 [6 per cell]  1 Li 2.62, 3 Al 2.83

Properties
- Raw formation energy: -1.91 eV/f.u.
- Magnetization: 0.00 μB/f.u.